<A>
## AcLu2Co (PBE-GGA)

Data for AcLu2Co after structural relaxation.

Cell lengths 3.720, 3.720, 10.516 Å; angles 79.81, 79.81, 60.00 degrees
Fractional coordinates of all 4 atoms:
Ac 0.000 0.000 0.000
Lu 0.120 0.120 0.641
Lu 0.880 0.880 0.359
Co 0.500 0.500 0.500

<B>
## AcLu2Co (PBE-GGA)

Data for AcLu2Co after structural relaxation.

Cell lengths 3.438, 3.438, 9.009 Å; angles 90.00, 90.00, 90.00 degrees
Last column: magnetic moment on the atom in μB.
Fractional coordinates of all 4 atoms:
Ac 0.500 0.500 0.500  0.01
Lu 0.000 0.000 0.828  0.10
Lu 0.000 0.000 0.172  0.10
Co 0.500 0.500 0.000  -0.82

Which of them is most stable, and which least? Most stable: <B>; least stable: <A>.

<A>
## Ac2MgCo (PBE-GGA)

Data for Ac2MgCo after structural relaxation.

Cell lengths 4.101, 4.101, 10.810 Å; angles 79.06, 79.06, 60.00 degrees
Fractional coordinates of all 4 atoms:
Ac 0.117 0.117 0.650
Ac 0.883 0.883 0.350
Co 0.500 0.500 0.500
Mg 0.000 0.000 0.000

<B>
## Ac2MgCo (PBE-GGA)

Data for Ac2MgCo after structural relaxation.

Cell lengths 4.144, 7.685, 8.078 Å; angles 90.00, 104.86, 90.00 degrees
Fractional coordinates of all 8 atoms:
Ac 0.647 0.998 0.294
Ac 0.353 0.498 0.706
Ac 0.647 0.502 0.294
Ac 0.353 0.002 0.706
Mg 0.013 0.750 0.025
Mg 0.987 0.250 0.975
Co 0.187 0.750 0.375
Co 0.813 0.250 0.625

Which of them is most stable, and which least? Most stable: <B>; least stable: <A>.